Record 1
# Na3Mg2UTe6

An optimized crystal structure of Na3Mg2UTe6 (PBE, Alexandria).

Lattice parameters (Å, degrees): 7.466 7.466 7.951 99.01 99.01 119.98
Atoms (fractional coordinates):
1 Na 0.000 0.000 0.000
2 Na 0.335 0.665 0.000
3 Na 0.665 0.335 0.000
4 Mg 0.167 0.833 0.500
5 Mg 0.833 0.167 0.500
6 U 0.500 0.500 0.500
7 Te 0.092 0.425 0.276
8 Te 0.240 0.240 0.722
9 Te 0.425 0.092 0.276
10 Te 0.575 0.908 0.724
11 Te 0.760 0.760 0.278
12 Te 0.908 0.575 0.724

Calculated values
E (eV per atom): -3.94
Calculated density (g cm⁻³): 5.11
Total moment (μB/atom): 0.083
Crystal system: monoclinic
Fermi-level density of states (states/eV/atom): 0.059
ΔE_f (raw) (eV per atom): -0.831
Volume (Å³/atom): 30.4

***

Record 2
# Tm2GeS

An optimized crystal structure of Tm2GeS (PBE, Alexandria).

Lattice parameters (Å, degrees): 7.257 7.257 7.257 31.46 31.46 31.46
Atoms (fractional coordinates):
1 Tm 0.000 0.000 0.000
2 Tm 0.174 0.174 0.174
3 Ge 0.587 0.587 0.587
4 S 0.757 0.757 0.757

Calculated values
Distance to the lowest polymorph of the same formula (meV per atom): 189
E (eV per atom): -5.69
Calculated density (g cm⁻³): 7.95
Total moment (μB/atom): 0.000
Crystal system: trigonal
Fermi-level density of states (states/eV/atom): 0.607
ΔE_f (raw) (eV per atom): -1.271
Volume (Å³/atom): 23.1

***

Record 3
# Ac4CSeS2

An optimized crystal structure of Ac4CSeS2 (PBE, Alexandria).

Lattice parameters (Å, degrees): 7.432 4.258 7.593 90.00 108.93 90.00
Atoms (fractional coordinates):
1 Ac 0.227 0.000 0.221
2 Ac 0.241 0.500 0.774
3 Ac 0.759 0.500 0.226
4 Ac 0.773 0.000 0.779
5 C 0.000 0.500 0.000
6 Se 0.000 0.000 0.500
7 S 0.500 0.000 0.000
8 S 0.500 0.500 0.500

Calculated values
E (eV per atom): -6.11
Calculated density (g cm⁻³): 7.77
Total moment (μB/atom): 0.000
Crystal system: monoclinic
Fermi-level density of states (states/eV/atom): 0.335
ΔE_f (raw) (eV per atom): -1.435
Volume (Å³/atom): 28.4

***

Record 4
# DyHo8Mg2

An optimized crystal structure of DyHo8Mg2 (PBE, Alexandria).

Lattice parameters (Å, degrees): 8.643 8.643 8.324 113.88 113.88 35.58
Atoms (fractional coordinates):
1 Dy 0.000 0.000 0.000
2 Ho 0.100 0.100 0.471
3 Ho 0.188 0.188 0.951
4 Ho 0.353 0.353 0.797
5 Ho 0.444 0.444 0.265
6 Ho 0.556 0.556 0.735
7 Ho 0.647 0.647 0.203
8 Ho 0.812 0.812 0.049
9 Ho 0.900 0.900 0.529
10 Mg 0.273 0.273 0.371
11 Mg 0.727 0.727 0.629

Calculated values
Distance to the lowest polymorph of the same formula (meV per atom): 0
E (eV per atom): -4.02
Energy of formation from the pure elements (meV per atom): 20
Calculated density (g cm⁻³): 7.76
Total moment (μB/atom): 0.000
Crystal system: monoclinic
Fermi-level density of states (states/eV/atom): 1.438
Volume (Å³/atom): 29.8

***

Record 5
# CdNi4Au

An optimized crystal structure of CdNi4Au (PBE, Alexandria).

Lattice parameters (Å, degrees): 4.852 4.852 4.852 60.00 60.00 60.00
Atoms (fractional coordinates):
1 Cd 0.000 0.000 0.000
2 Ni 0.375 0.375 0.375
3 Ni 0.375 0.375 0.874
4 Ni 0.375 0.874 0.375
5 Ni 0.874 0.375 0.375
6 Au 0.750 0.750 0.750

Calculated values
E (eV per atom): -4.50
Energy of formation from the pure elements (meV per atom): 49
Calculated density (g cm⁻³): 11.19
Total moment (μB/atom): 0.161
Crystal system: cubic
Fermi-level density of states (states/eV/atom): 0.942
Volume (Å³/atom): 13.5

***

Record 6
# TaNi4P

An optimized crystal structure of TaNi4P (PBE, Alexandria).

Lattice parameters (Å, degrees): 4.712 4.712 4.712 60.00 60.00 60.00
Atoms (fractional coordinates):
1 Ta 0.000 0.000 0.000
2 Ni 0.124 0.625 0.625
3 Ni 0.625 0.124 0.625
4 Ni 0.625 0.625 0.124
5 Ni 0.625 0.625 0.625
6 P 0.250 0.250 0.250

Calculated values
E (eV per atom): -6.77
Energy of formation from the pure elements (meV per atom): -39
Calculated density (g cm⁻³): 10.03
Total moment (μB/atom): 0.128
Crystal system: cubic
Fermi-level density of states (states/eV/atom): 1.281
Volume (Å³/atom): 12.3

***

Record 7
# MgH2Se2O6

An optimized crystal structure of MgH2Se2O6 (PBE, Alexandria).

Lattice parameters (Å, degrees): 5.662 5.302 10.767 90.00 121.04 90.00
Atoms (fractional coordinates):
1 Mg 0.000 0.000 0.000
2 Mg 0.000 0.500 0.500
3 H 0.299 0.038 0.530
4 H 0.299 0.462 0.030
5 H 0.701 0.538 0.970
6 H 0.701 0.962 0.470
7 Se 0.317 0.681 0.335
8 Se 0.317 0.819 0.835
9 Se 0.683 0.181 0.165
10 Se 0.683 0.319 0.665
11 O 0.162 0.580 0.718
12 O 0.162 0.920 0.218
13 O 0.256 0.748 0.972
14 O 0.256 0.752 0.472
15 O 0.319 0.216 0.572
16 O 0.319 0.284 0.072
17 O 0.681 0.716 0.928
18 O 0.681 0.784 0.428
19 O 0.744 0.248 0.528
20 O 0.744 0.252 0.028
21 O 0.838 0.080 0.782
22 O 0.838 0.420 0.282

Calculated values
Distance to the lowest polymorph of the same formula (meV per atom): 0
E (eV per atom): -5.35
Calculated density (g cm⁻³): 3.36
Total moment (μB/atom): 0.000
Crystal system: monoclinic
Fermi-level density of states (states/eV/atom): 0.000
Volume (Å³/atom): 12.6